# 1
Below is KAs2Cl2 after structural relaxation, with properties calculated at the PBE level.

Output
* DOS(E_F): 4.43 states/eV/f.u.
* formation energy (no corrections): -552 meV per atom
* SG: I4/mmm, No. 139

Structure (POSCAR):
```
KAs2Cl2
1.0
-2.459 2.876 0.169
-2.602 -2.312 1.494
0.363 2.278 8.960
Cl As K
2 2 1
Cartesian
-2.758 2.152 8.132
-1.940 0.689 2.490
-2.385 0.124 5.643
-2.313 2.718 4.980
0.000 0.000 0.000
```

# 2
Below is AcPrThN3 after structural relaxation, with properties calculated at the PBE level.

Output
* DOS(E_F): 2.26 states/eV/f.u.
* formation energy (no corrections): -1137 meV per atom
* SG: P2_1/m, No. 11

Structure (POSCAR):
```
AcPrThN3
1.0
-3.146 -1.696 0.354
2.287 -3.132 5.329
-3.731 8.155 5.901
N Ac Th Pr
6 2 2 2
Cartesian
-0.996 1.584 7.851
-3.689 6.071 5.405
-1.771 -1.729 3.308
-0.901 -2.744 6.179
-2.819 5.056 8.277
-3.594 1.742 3.734
-1.209 0.898 2.662
-3.381 2.429 8.923
-5.067 5.200 7.199
0.477 -1.873 4.386
-2.509 3.713 4.600
-2.081 -0.386 6.985
```

# 3
Below is SrRh3Pb after structural relaxation, with properties calculated at the PBE level.

Output
* DOS(E_F): 4.62 states/eV/f.u.
* SG: Pm-3m, No. 221
* formation enthalpy at 0 K: 558 meV/atom

Structure (POSCAR):
```
SrRh3Pb
1.0
-2.846 -2.715 3.156
0.867 -4.125 -2.768
4.072 -1.020 2.795
Pb Sr Rh
1 1 3
Cartesian
0.000 0.000 0.000
1.046 -3.930 1.591
2.036 -0.510 1.397
-1.423 -1.358 1.578
0.433 -2.063 -1.384
```

# 4
Below is Ga3GeBi after structural relaxation, with properties calculated at the PBE level.

Output
* DOS(E_F): 4.74 states/eV/f.u.
* SG: Pm-3m, No. 221
* formation enthalpy at 0 K: 870 meV/atom

Structure (POSCAR):
```
Ga3GeBi
1.0
5.493 0.000 0.000
0.000 5.493 0.000
0.000 0.000 5.493
Ga Bi Ge
3 1 1
Cartesian
2.746 0.000 0.000
0.000 2.746 0.000
0.000 0.000 2.746
0.000 0.000 0.000
2.746 2.746 2.746
```

# 5
Below is ZrAgSn2 after structural relaxation, with properties calculated at the PBE level.

Output
* DOS(E_F): 1.57 states/eV/f.u.
* SG: P4/mmm, No. 123
* formation enthalpy at 0 K: -230 meV/atom

Structure (POSCAR):
```
ZrAgSn2
1.0
-1.380 1.311 3.691
-2.803 -3.609 0.234
3.282 -2.413 2.084
Zr Sn Ag
1 2 1
Cartesian
-0.690 0.655 1.845
-1.401 -1.805 0.117
1.641 -1.207 1.042
-0.450 -2.356 3.004
```

# 6
Below is AgSe after structural relaxation, with properties calculated at the PBE level.

Output
* DOS(E_F): 1.14 states/eV/f.u.
* formation energy (no corrections): 28 meV per atom
* SG: Cmcm, No. 63

Structure (POSCAR):
```
AgSe
1.0
-2.641 2.539 2.704
-2.149 -1.621 -3.668
-1.309 -4.114 2.585
Ag Se
2 2
Cartesian
-4.511 -2.929 0.401
-1.587 -0.267 1.219
-3.920 -0.346 -0.086
-2.179 -2.851 1.707
```

# 7
Below is TePW2 after structural relaxation, with properties calculated at the PBE level.

Output
* DOS(E_F): 3.16 states/eV/f.u.
* formation energy (no corrections): 443 meV per atom
* SG: Imm2, No. 44

Structure (POSCAR):
```
TePW2
1.0
5.534 1.411 1.384
2.530 5.302 -0.151
-4.405 -3.376 1.931
Te W P
1 2 1
Cartesian
1.367 2.881 1.243
2.225 0.400 1.912
7.866 6.548 1.203
4.297 3.577 0.657
```

# 8
Below is SrTm5Bi6 after structural relaxation, with properties calculated at the PBE level.

Output
* DOS(E_F): 3.07 states/eV/f.u.
* SG: C2/m, No. 12
* formation enthalpy at 0 K: -768 meV/atom

Structure (POSCAR):
```
SrTm5Bi6
1.0
-3.803 -5.667 3.736
0.480 -0.085 -7.765
7.344 -1.971 1.778
Tm Bi Sr
5 6 1
Cartesian
2.010 -3.861 -1.125
-2.385 -3.819 -0.071
3.463 -1.968 -5.026
-0.938 -1.933 -3.958
0.557 -5.755 2.776
-0.590 -4.743 -2.521
3.724 -4.751 -3.654
4.610 -2.980 0.270
1.779 -1.040 -2.578
0.296 -2.972 1.403
2.242 -6.682 0.327
0.000 0.000 0.000
```

# 9
Below is Zr3NbIn after structural relaxation, with properties calculated at the PBE level.

Output
* DOS(E_F): 11.34 states/eV/f.u.
* SG: Pm-3m, No. 221
* formation enthalpy at 0 K: 1397 meV/atom

Structure (POSCAR):
```
Zr3NbIn
1.0
-1.877 -4.240 2.383
3.991 -2.803 -1.844
2.781 1.160 4.255
In Zr Nb
1 3 1
Cartesian
0.000 0.000 0.000
1.390 0.580 2.127
-0.939 -2.120 1.191
1.995 -1.401 -0.922
2.447 -2.942 2.397
```

# 10
Below is Sr3CrN4 after structural relaxation, with properties calculated at the PBE level.

Output
* formation energy (no corrections): -923 meV per atom
* SG: Pbca, No. 61

Structure (POSCAR):
```
Sr3CrN4
1.0
-4.819 4.045 -7.280
-7.903 1.823 6.245
4.444 10.106 2.673
N Sr Cr
32 24 8
Cartesian
-0.515 8.465 1.397
-3.482 11.306 0.694
0.203 9.788 -2.589
-5.896 12.861 1.042
-7.763 7.510 0.242
-2.626 11.810 7.420
-3.793 10.909 4.924
-4.756 2.491 -0.945
-6.590 8.219 3.452
-2.382 3.114 0.596
-4.485 5.065 -3.286
-3.521 13.483 2.584
-3.109 7.567 2.291
-9.427 10.491 1.740
-5.652 4.164 -5.781
2.771 11.040 0.328
-6.950 7.300 -2.526
1.150 5.483 -0.101
-7.485 9.892 -1.384
-4.796 4.668 0.945
-4.730 2.010 1.861
-8.481 6.186 4.228
-0.792 6.082 3.023
-3.266 5.781 -5.809
-5.012 10.193 7.448
-3.548 13.965 -0.222
-5.169 8.408 -0.652
-5.660 5.558 4.124
-11.049 4.934 1.311
-1.328 8.675 4.165
-1.688 7.755 -1.813
-2.618 10.417 -2.485
-1.128 10.292 6.097
-4.379 7.640 -3.028
-5.093 10.885 -1.698
0.831 8.052 -0.835
-9.529 5.826 -0.626
-7.150 5.683 -4.459
-2.806 3.214 -2.348
-0.194 1.994 -0.364
-9.825 9.496 -0.569
-2.160 11.147 2.865
1.251 10.148 2.265
-6.602 3.684 2.605
-6.118 4.828 -1.226
-1.452 5.498 0.203
-1.676 12.290 -0.966
-2.797 8.947 0.096
-8.084 13.980 2.002
-6.826 10.476 1.436
-5.481 7.027 1.543
-3.185 5.089 3.336
1.547 6.479 2.207
-5.472 12.761 3.986
-3.899 8.334 4.667
-9.109 7.922 2.474
-1.403 7.711 2.715
-4.141 3.091 0.599
-1.413 9.180 -2.821
-4.152 4.560 -4.937
-6.865 6.795 4.460
-4.126 11.415 6.576
-6.875 8.264 -1.076
-4.137 12.883 1.040
```

# 11
Below is CsBa2SnTe4 after structural relaxation, with properties calculated at the PBE level.

Output
* DOS(E_F): 12.51 states/eV/f.u.
* formation energy (no corrections): -996 meV per atom
* SG: Imma, No. 74

Structure (POSCAR):
```
CsBa2SnTe4
1.0
9.961 0.001 -0.016
-0.006 9.961 -0.016
-4.922 -4.925 7.058
Sn Ba Cs Te
2 4 2 8
Cartesian
5.039 -4.924 7.041
2.517 2.518 3.512
2.519 -2.462 3.521
-2.461 -2.462 3.529
4.978 4.981 -0.016
4.980 0.001 -0.008
-0.003 4.980 -0.008
7.497 2.519 3.504
2.440 7.697 0.109
0.251 4.962 3.638
2.479 2.329 0.114
4.844 4.999 3.626
2.594 -2.660 6.916
2.555 2.708 6.911
4.782 0.075 3.387
0.189 0.038 3.398
```

# 12
Below is Ac2TbGd after structural relaxation, with properties calculated at the PBE level.

Output
* DOS(E_F): 5.15 states/eV/f.u.
* SG: P4/mmm, No. 123
* formation enthalpy at 0 K: 37 meV/atom

Structure (POSCAR):
```
Ac2TbGd
1.0
-0.703 -0.095 -5.105
5.144 -1.632 -0.678
-1.604 -5.187 0.317
Ac Tb Gd
2 1 1
Cartesian
2.572 -0.816 -0.339
-0.802 -2.594 0.159
1.419 -3.457 -2.733
-0.352 -0.047 -2.553
```

# 13
Below is TaPbS2 after structural relaxation, with properties calculated at the PBE level.

Output
* DOS(E_F): 2.33 states/eV/f.u.
* formation energy (no corrections): 175 meV per atom
* SG: R-3m, No. 166

Structure (POSCAR):
```
TaPbS2
1.0
-8.339 -2.024 2.137
-6.668 -5.240 2.506
-6.563 -2.812 5.218
Pb S Ta
1 2 1
Cartesian
-10.785 -5.038 4.931
-19.639 -9.174 8.979
-1.931 -0.902 0.883
0.000 0.000 0.000
```

# 14
Below is YSnBi3 after structural relaxation, with properties calculated at the PBE level.

Output
* DOS(E_F): 5.88 states/eV/f.u.
* SG: Pm-3m, No. 221
* formation enthalpy at 0 K: 483 meV/atom

Structure (POSCAR):
```
YSnBi3
1.0
5.740 0.000 0.000
0.000 5.740 0.000
0.000 0.000 5.740
Bi Y Sn
3 1 1
Cartesian
0.000 0.000 2.870
2.870 0.000 0.000
0.000 2.870 0.000
2.870 2.870 2.870
0.000 0.000 0.000
```

# 15
Below is Ac6PrOs2 after structural relaxation, with properties calculated at the PBE level.

Output
* DOS(E_F): 8.55 states/eV/f.u.
* SG: C2/m, No. 12
* formation enthalpy at 0 K: 61 meV/atom

Structure (POSCAR):
```
Ac6PrOs2
1.0
4.301 0.000 0.000
-2.151 6.357 -1.425
0.000 1.078 12.954
Os Pr Ac
2 1 6
Cartesian
0.000 3.947 1.178
2.151 3.489 10.351
0.000 0.539 6.477
2.151 5.903 1.428
2.151 3.791 7.514
2.151 2.048 0.475
0.000 1.533 10.101
0.000 3.644 4.015
0.000 5.388 11.054
```

# 16
Below is CaLuCuRu after structural relaxation, with properties calculated at the PBE level.

Output
* DOS(E_F): 1.66 states/eV/f.u.
* SG: F-43m, No. 216
* formation enthalpy at 0 K: -113 meV/atom

Structure (POSCAR):
```
CaLuCuRu
1.0
-2.683 0.072 3.995
-3.418 -3.323 0.664
0.576 -3.410 3.348
Lu Ru Ca Cu
1 1 1 1
Cartesian
-4.144 -4.996 6.005
-2.763 -3.330 4.003
-1.381 -1.665 2.002
0.000 0.000 0.000
```

# 17
Below is TbMgAlZn after structural relaxation, with properties calculated at the PBE level.

Output
* DOS(E_F): 0.79 states/eV/f.u.
* SG: F-43m, No. 216
* formation enthalpy at 0 K: -282 meV/atom

Structure (POSCAR):
```
TbMgAlZn
1.0
-0.279 -4.256 2.408
2.675 -3.828 -1.476
3.782 -1.534 2.707
Mg Al Zn Tb
1 1 1 1
Cartesian
4.634 -7.214 2.730
3.089 -4.809 1.820
0.000 0.000 0.000
1.545 -2.405 0.910
```

# 18
Below is Dy3USb4 after structural relaxation, with properties calculated at the PBE level.

Output
* DOS(E_F): 7.70 states/eV/f.u.
* formation energy (no corrections): -887 meV per atom
* SG: Cmmm, No. 65

Structure (POSCAR):
```
Dy3USb4
1.0
-2.612 -3.387 -0.862
2.073 0.260 -7.303
4.729 -4.604 3.761
Dy Sb U
3 4 1
Cartesian
2.364 -2.302 1.881
1.036 0.130 -3.652
2.095 -3.865 -2.202
1.707 -1.090 -0.889
2.762 -5.087 0.577
5.094 -3.254 -2.653
1.428 -2.644 -4.980
-1.306 -1.693 -0.431
```

# 19
Below is LaNi2Ru after structural relaxation, with properties calculated at the PBE level.

Output
* DOS(E_F): 5.74 states/eV/f.u.
* SG: Imm2, No. 44
* formation enthalpy at 0 K: 166 meV/atom

Structure (POSCAR):
```
LaNi2Ru
1.0
4.839 -0.049 -0.199
1.465 4.612 0.199
-3.046 -2.429 2.878
Ru La Ni
1 1 2
Cartesian
3.159 2.287 0.000
2.473 -0.098 1.340
6.299 4.559 0.000
0.785 2.231 1.538
```

# 20
Below is YHoEr2Sc4 after structural relaxation, with properties calculated at the PBE level.

Output
* DOS(E_F): 16.63 states/eV/f.u.
* SG: C2/c, No. 15
* formation enthalpy at 0 K: 436 meV/atom

Structure (POSCAR):
```
YHoEr2Sc4
1.0
-3.802 -7.916 -2.260
4.158 -4.231 6.859
-4.635 10.256 -0.099
Y Sc Er Ho
2 8 4 2
Cartesian
2.079 -2.115 3.429
-4.041 -4.904 1.120
2.154 -5.158 4.584
-0.154 -0.027 4.544
-4.347 1.162 3.358
-2.043 -3.985 3.426
-2.237 2.094 1.074
-4.125 -1.864 -0.044
-6.434 3.267 -0.084
0.068 -3.053 1.142
-2.317 5.128 -0.049
0.178 -6.073 2.299
-4.219 1.170 -1.179
-1.901 -3.958 -1.130
-8.437 2.340 -2.359
-2.140 -0.946 2.250
```

# 21
Below is CsNaMg6 after structural relaxation, with properties calculated at the PBE level.

Output
* DOS(E_F): 3.78 states/eV/f.u.
* SG: Amm2, No. 38
* formation enthalpy at 0 K: 261 meV/atom

Structure (POSCAR):
```
CsNaMg6
1.0
2.855 2.553 5.733
-5.533 -3.727 1.740
3.082 -4.381 0.416
Mg Na Cs
6 1 1
Cartesian
-0.013 0.405 4.367
0.414 -2.455 5.762
-2.824 -1.458 5.563
-1.273 -0.778 1.235
1.465 -1.995 2.830
3.357 -0.415 5.447
-4.331 -2.827 2.312
-1.345 -3.936 3.208
```

# 22
Below is Pr2Ni2Ir after structural relaxation, with properties calculated at the PBE level.

Output
* DOS(E_F): 3.87 states/eV/f.u.
* SG: C2/c, No. 15
* formation enthalpy at 0 K: -411 meV/atom

Structure (POSCAR):
```
Pr2Ni2Ir
1.0
-2.653 -4.483 -0.802
1.821 -4.352 2.349
-4.744 -0.237 6.746
Pr Ni Ir
4 4 2
Cartesian
-4.018 -5.942 7.093
-2.719 -5.855 2.964
-1.558 -3.130 1.201
-2.857 -3.217 5.330
-3.016 -1.216 3.198
0.423 -1.067 0.577
-6.000 -8.006 7.717
-2.561 -7.856 5.095
-0.031 -4.431 3.567
-5.545 -4.641 4.727
```

# 23
Below is HfAsCSe2 after structural relaxation, with properties calculated at the PBE level.

Output
* DOS(E_F): 7.15 states/eV/f.u.
* formation energy (no corrections): 1232 meV per atom
* SG: P4/mmm, No. 123

Structure (POSCAR):
```
HfAsCSe2
1.0
5.106 0.000 0.000
0.000 5.106 0.000
0.000 0.000 5.266
As Hf Se C
1 1 2 1
Cartesian
0.000 0.000 2.633
0.000 0.000 0.000
2.553 0.000 0.000
0.000 2.553 0.000
2.553 2.553 2.633
```